# Ac2TmZn3Ge4 (PBE, relaxed)
data_Ac2TmZn3Ge4
_chemical_formula_sum 'Ac2 Tm1 Zn3 Ge4'
_cell_length_a 4.5291
_cell_length_b 4.5291
_cell_length_c 11.1680
_cell_angle_alpha 90.00
_cell_angle_beta 90.00
_cell_angle_gamma 90.00
_symmetry_space_group_name_H-M 'P -4 m 2'
_symmetry_Int_Tables_number 115
_symmetry_space_group_name_Hall 'P -4 -2'
loop_
_atom_site_label
_atom_site_type_symbol
_atom_site_fract_x
_atom_site_fract_y
_atom_site_fract_z
Ac1 Ac 0.0000 0.5000 0.2265
Tm1 Tm 0.0000 0.0000 0.5000
Zn1 Zn 0.0000 0.5000 0.8841
Zn2 Zn 0.5000 0.5000 0.5000
Ge1 Ge 0.0000 0.0000 0.0000
Ge2 Ge 0.0000 0.5000 0.6529
Ge3 Ge 0.5000 0.5000 0.0000
# * DOS at the Fermi energy: 5.83 states/eV/f.u.
# * magnetization: 0.000 μB per formula unit
# * ΔH_f (0 K): -0.511 eV/atom

=====

# ZnRu2Au (PBE, relaxed)
data_ZnRu2Au
_chemical_formula_sum 'Zn2 Ru4 Au2'
_cell_length_a 3.9347
_cell_length_b 3.9347
_cell_length_c 7.6688
_cell_angle_alpha 90.00
_cell_angle_beta 90.00
_cell_angle_gamma 90.00
_symmetry_space_group_name_H-M 'I -4 m 2'
_symmetry_Int_Tables_number 119
_symmetry_space_group_name_Hall 'I -4 -2'
loop_
_atom_site_label
_atom_site_type_symbol
_atom_site_fract_x
_atom_site_fract_y
_atom_site_fract_z
Zn1 Zn 0.0000 0.0000 0.0000
Ru1 Ru 0.0000 0.0000 0.5000
Ru2 Ru 0.0000 0.5000 0.2500
Au1 Au 0.0000 0.5000 0.7500
# * DOS at the Fermi energy: 3.52 states/eV/f.u.
# * magnetization: 0.000 μB per formula unit
# * ΔH_f (0 K): 0.192 eV/atom

=====

# YTl2Ni (PBE, relaxed)
data_YTl2Ni
_chemical_formula_sum 'Y2 Tl4 Ni2'
_cell_length_a 4.6031
_cell_length_b 4.6031
_cell_length_c 8.6122
_cell_angle_alpha 90.00
_cell_angle_beta 90.00
_cell_angle_gamma 90.00
_symmetry_space_group_name_H-M 'I -4 m 2'
_symmetry_Int_Tables_number 119
_symmetry_space_group_name_Hall 'I -4 -2'
loop_
_atom_site_label
_atom_site_type_symbol
_atom_site_fract_x
_atom_site_fract_y
_atom_site_fract_z
Y1 Y 0.0000 0.0000 0.0000
Tl1 Tl 0.0000 0.0000 0.5000
Tl2 Tl 0.0000 0.5000 0.7500
Ni1 Ni 0.0000 0.5000 0.2500
# * DOS at the Fermi energy: 3.02 states/eV/f.u.
# * magnetization: 0.000 μB per formula unit
# * ΔH_f (0 K): 0.009 eV/atom

=====

# MnNb3Bi (PBE, relaxed)
data_MnNb3Bi
_chemical_formula_sum 'Mn1 Nb3 Bi1'
_cell_length_a 4.6811
_cell_length_b 4.6811
_cell_length_c 4.6811
_cell_angle_alpha 90.00
_cell_angle_beta 90.00
_cell_angle_gamma 90.00
_symmetry_space_group_name_H-M 'P m -3 m'
_symmetry_Int_Tables_number 221
_symmetry_space_group_name_Hall '-P 4 2 3'
loop_
_atom_site_label
_atom_site_type_symbol
_atom_site_fract_x
_atom_site_fract_y
_atom_site_fract_z
Mn1 Mn 0.0000 0.0000 0.0000
Nb1 Nb 0.0000 0.0000 0.5000
Bi1 Bi 0.5000 0.5000 0.5000
# * DOS at the Fermi energy: 6.07 states/eV/f.u.
# * magnetization: 0.000 μB per formula unit
# * relative energy among the computed polymorphs: 0.000 eV per atom
# * ΔH_f (0 K): 0.568 eV/atom

=====

# BaBi2PbAu (PBE, relaxed)
data_BaBi2PbAu
_chemical_formula_sum 'Ba1 Bi2 Pb1 Au1'
_cell_length_a 5.7572
_cell_length_b 5.7572
_cell_length_c 5.5773
_cell_angle_alpha 90.00
_cell_angle_beta 90.00
_cell_angle_gamma 90.00
_symmetry_space_group_name_H-M 'P 4/m m m'
_symmetry_Int_Tables_number 123
_symmetry_space_group_name_Hall '-P 4 2'
loop_
_atom_site_label
_atom_site_type_symbol
_atom_site_fract_x
_atom_site_fract_y
_atom_site_fract_z
Ba1 Ba 0.0000 0.0000 0.0000
Bi1 Bi 0.0000 0.5000 0.5000
Pb1 Pb 0.5000 0.5000 0.0000
Au1 Au 0.5000 0.5000 0.5000
# * DOS at the Fermi energy: 2.52 states/eV/f.u.
# * magnetization: 0.000 μB per formula unit
# * ΔH_f (0 K): -0.184 eV/atom

=====

# Ba2TlPIr (PBE, relaxed)
data_Ba2TlPIr
_chemical_formula_sum 'Ba2 Tl1 P1 Ir1'
_cell_length_a 6.2597
_cell_length_b 6.2597
_cell_length_c 4.3713
_cell_angle_alpha 90.00
_cell_angle_beta 90.00
_cell_angle_gamma 90.00
_symmetry_space_group_name_H-M 'P 4/m m m'
_symmetry_Int_Tables_number 123
_symmetry_space_group_name_Hall '-P 4 2'
loop_
_atom_site_label
_atom_site_type_symbol
_atom_site_fract_x
_atom_site_fract_y
_atom_site_fract_z
Ba1 Ba 0.0000 0.5000 0.0000
Tl1 Tl 0.0000 0.0000 0.5000
P1 P 0.5000 0.5000 0.0000
Ir1 Ir 0.5000 0.5000 0.5000
# * DOS at the Fermi energy: 3.50 states/eV/f.u.
# * magnetization: 0.000 μB per formula unit
# * ΔH_f (0 K): -0.445 eV/atom

=====

# KRb2NaAs (PBE, relaxed)
data_KRb2NaAs
_chemical_formula_sum 'K1 Rb2 Na1 As1'
_cell_length_a 6.7171
_cell_length_b 6.7171
_cell_length_c 6.4708
_cell_angle_alpha 90.00
_cell_angle_beta 90.00
_cell_angle_gamma 90.00
_symmetry_space_group_name_H-M 'P 4/m m m'
_symmetry_Int_Tables_number 123
_symmetry_space_group_name_Hall '-P 4 2'
loop_
_atom_site_label
_atom_site_type_symbol
_atom_site_fract_x
_atom_site_fract_y
_atom_site_fract_z
K1 K 0.0000 0.0000 0.0000
Rb1 Rb 0.0000 0.5000 0.5000
Na1 Na 0.5000 0.5000 0.0000
As1 As 0.0000 0.0000 0.5000
# * DOS at the Fermi energy: 4.34 states/eV/f.u.
# * magnetization: 1.069 μB per formula unit
# * relative energy among the computed polymorphs: 0.059 eV per atom
# * ΔH_f (0 K): -0.063 eV/atom

=====

# LiGaHgO3 (PBE, relaxed)
data_LiGaHgO3
_chemical_formula_sum 'Li4 Ga4 Hg4 O12'
_cell_length_a 3.1606
_cell_length_b 12.6144
_cell_length_c 7.9607
_cell_angle_alpha 90.00
_cell_angle_beta 90.00
_cell_angle_gamma 90.00
_symmetry_space_group_name_H-M 'C m c m'
_symmetry_Int_Tables_number 63
_symmetry_space_group_name_Hall '-C 2c 2'
loop_
_atom_site_label
_atom_site_type_symbol
_atom_site_fract_x
_atom_site_fract_y
_atom_site_fract_z
Li1 Li 0.0000 0.1070 0.2500
Ga1 Ga 0.0000 0.5000 0.0000
Hg1 Hg 0.0000 0.1523 0.7500
O1 O 0.0000 0.1094 0.0024
O2 O 0.0000 0.4849 0.7500
# * magnetization: 0.000 μB per formula unit
# * uncorrected energy: -4.557 eV per atom

=====

# Ba2InHgH (PBE, relaxed)
data_Ba2InHgH
_chemical_formula_sum 'Ba2 In1 Hg1 H1'
_cell_length_a 5.5456
_cell_length_b 5.5456
_cell_length_c 4.8950
_cell_angle_alpha 90.00
_cell_angle_beta 90.00
_cell_angle_gamma 90.00
_symmetry_space_group_name_H-M 'P 4/m m m'
_symmetry_Int_Tables_number 123
_symmetry_space_group_name_Hall '-P 4 2'
loop_
_atom_site_label
_atom_site_type_symbol
_atom_site_fract_x
_atom_site_fract_y
_atom_site_fract_z
Ba1 Ba 0.0000 0.5000 0.0000
In1 In 0.0000 0.0000 0.5000
Hg1 Hg 0.5000 0.5000 0.5000
H1 H 0.5000 0.5000 0.0000
# * DOS at the Fermi energy: 3.35 states/eV/f.u.
# * magnetization: 0.000 μB per formula unit
# * relative energy among the computed polymorphs: 0.020 eV per atom

=====

# Ti2TeBr (PBE, relaxed)
data_Ti2TeBr
_chemical_formula_sum 'Ti8 Te4 Br4'
_cell_length_a 6.7454
_cell_length_b 6.7454
_cell_length_c 6.7454
_cell_angle_alpha 90.00
_cell_angle_beta 90.00
_cell_angle_gamma 90.00
_symmetry_space_group_name_H-M 'F m -3 m'
_symmetry_Int_Tables_number 225
_symmetry_space_group_name_Hall '-F 4 2 3'
loop_
_atom_site_label
_atom_site_type_symbol
_atom_site_fract_x
_atom_site_fract_y
_atom_site_fract_z
Ti1 Ti 0.2500 0.2500 0.2500
Te1 Te 0.0000 0.0000 0.0000
Br1 Br 0.0000 0.0000 0.5000
# * DOS at the Fermi energy: 8.58 states/eV/f.u.
# * magnetization: 0.903 μB per formula unit
# * relative energy among the computed polymorphs: 0.000 eV per atom

=====

# NpSbAs (PBE, relaxed)
data_NpSbAs
_chemical_formula_sum 'Np1 Sb1 As1'
_cell_length_a 4.8012
_cell_length_b 4.8012
_cell_length_c 3.6895
_cell_angle_alpha 90.00
_cell_angle_beta 90.00
_cell_angle_gamma 120.00
_symmetry_space_group_name_H-M 'P -6 m 2'
_symmetry_Int_Tables_number 187
_symmetry_space_group_name_Hall 'P -6 2'
loop_
_atom_site_label
_atom_site_type_symbol
_atom_site_fract_x
_atom_site_fract_y
_atom_site_fract_z
Np1 Np 0.0000 0.0000 0.0000
Sb1 Sb 0.6667 0.3333 0.5000
As1 As 0.3333 0.6667 0.5000
# * DOS at the Fermi energy: 9.49 states/eV/f.u.
# * magnetization: 4.222 μB per formula unit
# * relative energy among the computed polymorphs: 0.345 eV per atom

=====

# CsSr2Pd2 (PBE, relaxed)
data_CsSr2Pd2
_chemical_formula_sum 'Cs2 Sr4 Pd4'
_cell_length_a 5.4004
_cell_length_b 5.4004
_cell_length_c 12.1397
_cell_angle_alpha 90.00
_cell_angle_beta 90.00
_cell_angle_gamma 90.00
_symmetry_space_group_name_H-M 'I 4/m m m'
_symmetry_Int_Tables_number 139
_symmetry_space_group_name_Hall '-I 4 2'
loop_
_atom_site_label
_atom_site_type_symbol
_atom_site_fract_x
_atom_site_fract_y
_atom_site_fract_z
Cs1 Cs 0.0000 0.0000 0.0000
Sr1 Sr 0.0000 0.5000 0.2500
Pd1 Pd 0.0000 0.0000 0.3856
# * DOS at the Fermi energy: 4.64 states/eV/f.u.
# * magnetization: 0.000 μB per formula unit
# * relative energy among the computed polymorphs: 0.046 eV per atom
# * ΔH_f (0 K): -0.220 eV/atom